[1]
DFT (PBE) results for an optimized crystal structure of Zr2TaO.

Structure (CIF):
```
data_Zr2TaO
_cell_length_a 6.445
_cell_length_b 6.445
_cell_length_c 5.921
_cell_angle_alpha 57.02
_cell_angle_beta 57.02
_cell_angle_gamma 90.00
_space_group_name_H-M_alt 'P 1'
_space_group_IT_number 1
loop_
_space_group_symop_operation_xyz
'x,y,z'
loop_
_atom_site_label
_atom_site_fract_x
_atom_site_fract_y
_atom_site_fract_z
_atom_site_occupancy
Zr1 0.231 0.625 0.250 1
Zr2 0.519 0.125 0.250 1
O1 0.500 0.500 0.000 1
Ta1 0.000 0.000 0.000 1
O2 0.250 0.750 0.500 1
Zr3 0.875 0.769 0.750 1
Zr4 0.375 0.481 0.750 1
Ta2 0.750 0.250 0.500 1
```

Properties
**Fermi-level density of states**: 1.65 states/eV/atom
**Formation energy from raw total energies**: -0.671 eV per atom
**Density**: 8.02 g cm⁻³
**Uncorrected energy**: -73.18 eV for the cell shown
**Symmetry**: No. 122


[2]
DFT (PBE) results for an optimized crystal structure of Zr2TaO.

Structure (CIF):
```
data_Zr2TaO
_cell_length_a 2.886
_cell_length_b 2.886
_cell_length_c 7.879
_cell_angle_alpha 90.00
_cell_angle_beta 90.00
_cell_angle_gamma 90.00
_space_group_name_H-M_alt 'P 1'
_space_group_IT_number 1
loop_
_space_group_symop_operation_xyz
'x,y,z'
loop_
_atom_site_label
_atom_site_fract_x
_atom_site_fract_y
_atom_site_fract_z
_atom_site_occupancy
Zr1 0.000 0.000 0.193 1
Ta1 0.500 0.500 0.500 1
O1 0.500 0.500 0.000 1
Zr2 0.000 0.000 0.807 1
```

Properties
**Fermi-level density of states**: 0.71 states/eV/atom
**Formation energy from raw total energies**: -0.813 eV per atom
**Density**: 9.60 g cm⁻³
**Uncorrected energy**: -37.16 eV for the cell shown
**Symmetry**: No. 123


[3]
DFT (PBE) results for an optimized crystal structure of Zr3TaO.

Structure (CIF):
```
data_Zr3TaO
_cell_length_a 5.118
_cell_length_b 5.118
_cell_length_c 5.118
_cell_angle_alpha 90.00
_cell_angle_beta 90.00
_cell_angle_gamma 90.00
_space_group_name_H-M_alt 'P 1'
_space_group_IT_number 1
loop_
_space_group_symop_operation_xyz
'x,y,z'
loop_
_atom_site_label
_atom_site_fract_x
_atom_site_fract_y
_atom_site_fract_z
_atom_site_occupancy
O1 0.500 0.500 0.500 1
Zr1 0.000 0.000 0.500 1
Ta1 0.000 0.000 0.000 1
Zr2 0.000 0.500 0.000 1
Zr3 0.500 0.000 0.000 1
```

Properties
**Fermi-level density of states**: 1.73 states/eV/atom
**Formation energy from raw total energies**: 1.327 eV per atom
**Density**: 5.83 g cm⁻³
**Uncorrected energy**: -35.82 eV for the cell shown
**Symmetry**: No. 221


[4]
DFT (PBE) results for an optimized crystal structure of ZrTaO5.

Structure (CIF):
```
data_ZrTaO5
_cell_length_a 5.545
_cell_length_b 7.567
_cell_length_c 9.908
_cell_angle_alpha 90.00
_cell_angle_beta 90.00
_cell_angle_gamma 112.93
_space_group_name_H-M_alt 'P 1'
_space_group_IT_number 1
loop_
_space_group_symop_operation_xyz
'x,y,z'
loop_
_atom_site_label
_atom_site_fract_x
_atom_site_fract_y
_atom_site_fract_z
_atom_site_occupancy
Ta1 0.661 0.598 0.260 1
O1 0.509 0.979 0.574 1
Ta2 0.839 0.902 0.760 1
Ta3 0.161 0.098 0.240 1
Zr1 0.330 0.763 0.977 1
O2 0.571 0.363 0.630 1
Zr2 0.170 0.737 0.477 1
O3 0.497 0.323 0.202 1
O4 0.859 0.490 0.392 1
O5 0.429 0.637 0.370 1
O6 0.921 0.811 0.596 1
O7 0.579 0.689 0.096 1
Zr3 0.830 0.263 0.523 1
O8 0.991 0.521 0.074 1
O9 0.491 0.021 0.426 1
Zr4 0.670 0.237 0.023 1
O10 0.641 0.010 0.892 1
O11 0.359 0.990 0.108 1
O12 0.003 0.177 0.702 1
O13 0.071 0.863 0.870 1
O14 0.929 0.137 0.130 1
Ta4 0.339 0.402 0.740 1
O15 0.421 0.311 0.904 1
O16 0.009 0.479 0.926 1
O17 0.503 0.677 0.798 1
O18 0.141 0.510 0.608 1
O19 0.997 0.823 0.298 1
O20 0.079 0.189 0.404 1
```

Properties
**Fermi-level density of states**: 0.00 states/eV/atom
**Formation energy from raw total energies**: -2.750 eV per atom
**Density**: 6.11 g cm⁻³
**Uncorrected energy**: -257.76 eV for the cell shown
**Symmetry**: No. 14


[5]
DFT (PBE) results for an optimized crystal structure of Tb4O.

Structure (CIF):
```
data_Tb4O
_cell_length_a 5.229
_cell_length_b 6.425
_cell_length_c 9.747
_cell_angle_alpha 77.20
_cell_angle_beta 74.44
_cell_angle_gamma 65.99
_space_group_name_H-M_alt 'P 1'
_space_group_IT_number 1
loop_
_space_group_symop_operation_xyz
'x,y,z'
loop_
_atom_site_label
_atom_site_fract_x
_atom_site_fract_y
_atom_site_fract_z
_atom_site_occupancy
O1 0.249 0.250 0.750 1
Tb1 0.385 0.053 0.187 1
Tb2 0.883 0.308 0.934 1
Tb3 0.125 0.192 0.566 1
Tb4 0.875 0.808 0.434 1
Tb5 0.117 0.692 0.066 1
Tb6 0.375 0.553 0.687 1
Tb7 0.625 0.447 0.313 1
Tb8 0.615 0.947 0.813 1
O2 0.751 0.750 0.250 1
```

Properties
**Fermi-level density of states**: 1.04 states/eV/atom
**Formation energy from raw total energies**: -1.101 eV per atom
**Density**: 7.57 g cm⁻³
**Uncorrected energy**: -57.97 eV for the cell shown
**Symmetry**: No. 15


[6]
DFT (PBE) results for an optimized crystal structure of Tb5O9.

Structure (CIF):
```
data_Tb5O9
_cell_length_a 6.615
_cell_length_b 6.615
_cell_length_c 6.615
_cell_angle_alpha 100.54
_cell_angle_beta 100.54
_cell_angle_gamma 129.36
_space_group_name_H-M_alt 'P 1'
_space_group_IT_number 1
loop_
_space_group_symop_operation_xyz
'x,y,z'
loop_
_atom_site_label
_atom_site_fract_x
_atom_site_fract_y
_atom_site_fract_z
_atom_site_occupancy
Tb1 0.332 0.434 0.328 1
O1 0.765 0.587 0.353 1
O2 0.000 0.000 0.000 1
Tb2 0.106 0.004 0.672 1
O3 0.588 0.235 0.822 1
O4 0.907 0.316 0.217 1
O5 0.413 0.766 0.178 1
O6 0.684 0.901 0.591 1
O7 0.234 0.412 0.647 1
Tb3 0.996 0.668 0.102 1
Tb4 0.566 0.894 0.898 1
Tb5 0.750 0.250 0.500 1
O8 0.310 0.093 0.409 1
O9 0.099 0.690 0.783 1
```

Properties
**Fermi-level density of states**: 0.44 states/eV/atom
**Formation energy from raw total energies**: -3.022 eV per atom
**Density**: 7.70 g cm⁻³
**Uncorrected energy**: -110.09 eV for the cell shown
**Symmetry**: No. 82